--- P ---
## SrZrCl3 (GGA-PBE)

Data for an optimized crystal structure of SrZrCl3.

Cell lengths 5.1260, 5.1260, 5.1260 Å; angles 90.00, 90.00, 90.00 degrees
With the nearest neighbours (Å) after each atom.
Fractional positions:
Sr 0.5000 0.5000 0.5000  12 Cl 3.62
Zr 0.0000 0.0000 0.0000  6 Cl 2.56
Cl 0.0000 0.5000 0.0000  2 Zr 2.56
Cl 0.0000 0.0000 0.5000  2 Zr 2.56
Cl 0.5000 0.0000 0.0000  2 Zr 2.56

Properties
Its total magnetization is 0.00 Bohr magnetons per cell.



--- Q ---
## SrZrCl3 (GGA-PBE)

Data for an optimized crystal structure of SrZrCl3.

Cell lengths 5.5940, 5.5940, 5.5940 Å; angles 90.00, 90.00, 90.00 degrees
With the nearest neighbours (Å) after each atom.
Fractional positions:
Sr 0.0000 0.0000 0.0000  6 Cl 2.80
Zr 0.5000 0.5000 0.5000  12 Cl 3.96
Cl 0.0000 0.5000 0.0000  2 Sr 2.80
Cl 0.0000 0.0000 0.5000  2 Sr 2.80
Cl 0.5000 0.0000 0.0000  2 Sr 2.80

Properties
Its total magnetization is 3.00 Bohr magnetons per cell.



What should be chosen as the most stable of them? Choose P.



--- P ---
## Sr2ZrCl (GGA-PBE)

Data for an optimized crystal structure of Sr2ZrCl.

Cell lengths 6.1252, 6.1252, 6.1252 Å; angles 125.77, 125.77, 80.27 degrees
With the nearest neighbours (Å) after each atom.
Fractional positions:
Cl 0.7500 0.2500 0.5000  8 Sr 3.64, 4 Zr 3.95
Sr 0.0000 0.0000 0.0000  4 Zr 3.64, 4 Cl 3.64, 4 Sr 3.95
Sr 0.5000 0.5000 0.0000  4 Zr 3.64, 4 Cl 3.64, 4 Sr 3.95
Zr 0.2500 0.7500 0.5000  8 Sr 3.64, 4 Cl 3.95

Properties
Its total magnetization is 4.00 Bohr magnetons per cell.



--- Q ---
## Sr2ZrCl (GGA-PBE)

Data for an optimized crystal structure of Sr2ZrCl.

Cell lengths 3.6771, 3.6771, 10.7080 Å; angles 90.00, 90.00, 114.94 degrees
With the nearest neighbours (Å) after each atom.
Fractional positions:
Cl 0.5000 0.5000 0.7290  2 Zr 2.81, 2 Sr 3.06
Sr 0.0000 0.0000 0.9476  2 Cl 3.06
Sr 0.5000 0.5000 0.2808  2 Zr 3.43, 4 Sr 3.68
Zr 0.0000 0.0000 0.5426  2 Cl 2.81

Properties
Its total magnetization is 0.86 Bohr magnetons per cell.



What should be chosen as the most stable of them? Choose Q.



--- P ---
## Sr2ZrCl (GGA-PBE)

Data for an optimized crystal structure of Sr2ZrCl.

Cell lengths 5.9070, 5.9070, 5.9070 Å; angles 60.00, 60.00, 60.00 degrees
With the nearest neighbours (Å) after each atom.
Fractional positions:
Sr 0.2500 0.2500 0.2500  4 Zr 3.62, 4 Cl 3.62
Sr 0.7500 0.7500 0.7500  4 Zr 3.62, 4 Cl 3.62
Zr 0.5000 0.5000 0.5000  8 Sr 3.62
Cl 0.0000 0.0000 0.0000  8 Sr 3.62

Properties
Its total magnetization is 4.80 Bohr magnetons per cell.



--- Q ---
## Sr2ZrCl (GGA-PBE)

Data for an optimized crystal structure of Sr2ZrCl.

Cell lengths 5.8757, 5.8757, 5.8757 Å; angles 60.00, 60.00, 60.00 degrees
With the nearest neighbours (Å) after each atom.
Fractional positions:
Cl 0.5000 0.5000 0.5000  4 Sr 3.60, 4 Zr 3.60
Sr 0.0000 0.0000 0.0000  4 Zr 3.60, 4 Sr 3.60
Sr 0.2500 0.2500 0.2500  4 Cl 3.60, 4 Sr 3.60
Zr 0.7500 0.7500 0.7500  4 Cl 3.60, 4 Sr 3.60

Properties
Its total magnetization is 3.80 Bohr magnetons per cell.



What should be chosen as the most stable of them? Choose P.



--- P ---
## Sr2ZrCl (GGA-PBE)

Data for an optimized crystal structure of Sr2ZrCl.

Cell lengths 6.1279, 6.1279, 3.5796 Å; angles 90.16, 90.16, 90.11 degrees
With the nearest neighbours (Å) after each atom.
Fractional positions:
Cl 0.0000 0.5000 0.5000  8 Sr 3.54-3.55, 2 Cl 3.58
Sr 0.0000 0.0000 0.0000  4 Zr 3.54-3.55, 4 Cl 3.54-3.55, 2 Sr 3.58
Sr 0.5000 0.5000 0.0000  4 Cl 3.54-3.55, 4 Zr 3.54-3.55, 2 Sr 3.58
Zr 0.5000 0.0000 0.5000  8 Sr 3.54-3.55, 2 Zr 3.58

Properties
Its total magnetization is 1.78 Bohr magnetons per cell.



--- Q ---
## Sr2ZrCl (GGA-PBE)

Data for an optimized crystal structure of Sr2ZrCl.

Cell lengths 3.6232, 3.6232, 12.0558 Å; angles 90.00, 90.00, 90.00 degrees
With the nearest neighbours (Å) after each atom.
Fractional positions:
Cl 0.5000 0.5000 0.8285  4 Sr 2.96
Sr 0.0000 0.0000 0.9521  4 Cl 2.96
Sr 0.5000 0.5000 0.2530  4 Sr 3.62, 4 Zr 3.63
Zr 0.0000 0.0000 0.4664  4 Zr 3.62, 4 Sr 3.63

Properties
Its total magnetization is 2.40 Bohr magnetons per cell.



What should be chosen as the most stable of them? Choose Q.